No. 1
BeZnTe2 | PBE-GGA | optimized geometry

POSCAR file:
```
BeZnTe2
1.0
5.7667 -6.0190 0.0000
5.7667 6.0190 0.0000
-0.1839 0.0000 12.6438
Be Zn Te
8 8 16
Direct
0.0215 0.7506 0.8548
0.2309 0.4739 0.6540
0.2494 0.9785 0.6452
0.4739 0.2309 0.1540
0.5261 0.7691 0.8460
0.7506 0.0215 0.3548
0.7691 0.5261 0.3460
0.9785 0.2494 0.1452
0.0873 0.2720 0.3743
0.2720 0.0873 0.8743
0.2874 0.5762 0.1074
0.4238 0.7126 0.3926
0.5762 0.2874 0.6074
0.7126 0.4238 0.8926
0.7280 0.9127 0.1257
0.9127 0.7280 0.6257
0.0028 0.9972 0.7500
0.0216 0.5065 0.2441
0.2194 0.7218 0.5447
0.2335 0.2684 0.0412
0.2684 0.2335 0.5412
0.2782 0.7806 0.9553
0.4928 0.5072 0.7500
0.4935 0.9784 0.2559
0.5065 0.0216 0.7441
0.5072 0.4928 0.2500
0.7218 0.2194 0.0447
0.7316 0.7665 0.4588
0.7665 0.7316 0.9588
0.7806 0.2782 0.4553
0.9784 0.4935 0.7559
0.9972 0.0028 0.2500
```

Results
As for the formation energy from raw total energies: -20.9 kJ per mole of atoms. The space-group type is C2/c (15). As for the crystal system: monoclinic. The calculation puts the energy relative to the lowest polymorph listed for this composition at 73 kJ/mol of formula units.

No. 2
TlCd2Ni | PBE-GGA | optimized geometry

POSCAR file:
```
TlCd2Ni
1.0
4.1762 0.0000 0.0000
0.0000 4.1762 0.0000
0.0000 0.0000 20.0807
Tl Cd Ni
4 8 4
Direct
0.0000 0.0000 0.0000
0.0000 0.5000 0.2500
0.5000 0.0000 0.7500
0.5000 0.5000 0.5000
0.2250 0.2500 0.6250
0.2500 0.7250 0.8750
0.2500 0.7750 0.3750
0.2750 0.2500 0.1250
0.7250 0.7500 0.1250
0.7500 0.2250 0.3750
0.7500 0.2750 0.8750
0.7750 0.7500 0.6250
0.0000 0.0000 0.5000
0.0000 0.5000 0.7500
0.5000 0.0000 0.2500
0.5000 0.5000 0.0000
```

Results
The space-group type is I-42d (122). As for the crystal system: tetragonal. The calculation puts the energy relative to the lowest polymorph listed for this composition at 92 kJ/mol of formula units.

No. 3
BeCdMo2 | PBE-GGA | optimized geometry

POSCAR file:
```
BeCdMo2
1.0
2.6789 0.0000 0.0000
0.0000 4.0870 0.0000
0.0000 0.0000 5.8055
Be Cd Mo
1 1 2
Direct
0.0000 0.0000 0.0000
0.5000 0.5000 0.2591
0.0000 0.0000 0.5583
0.5000 0.5000 0.7803
```

Results
The space-group type is Pmm2 (25). As for the crystal system: orthorhombic. The calculation puts the energy relative to the lowest polymorph listed for this composition at 86 kJ/mol of formula units.

No. 4
PaPSe2 | PBE-GGA | optimized geometry

POSCAR file:
```
PaPSe2
1.0
3.4914 0.0000 0.0000
-1.7457 3.0236 0.0000
0.0000 0.0000 26.2466
Pa P Se
3 3 6
Direct
0.0000 0.0000 0.0000
0.3333 0.6667 0.6667
0.6667 0.3333 0.3333
0.0000 0.0000 0.5000
0.3333 0.6667 0.1667
0.6667 0.3333 0.8333
0.0000 0.0000 0.1074
0.0000 0.0000 0.8926
0.3333 0.6667 0.5592
0.3333 0.6667 0.7741
0.6667 0.3333 0.2259
0.6667 0.3333 0.4408
```

Results
As for the formation energy from raw total energies: 10.2 kJ per mole of atoms. The space-group type is R-3m (166). As for the crystal system: trigonal.

No. 5
BaTb2Ce | PBE-GGA | optimized geometry

POSCAR file:
```
BaTb2Ce
1.0
4.2374 0.0000 0.0000
-2.1187 3.6697 0.0000
0.0000 0.0000 31.4698
Ba Tb Ce
3 6 3
Direct
0.0000 0.0000 0.0000
0.3333 0.6667 0.6667
0.6667 0.3333 0.3333
0.0000 0.0000 0.1165
0.0000 0.0000 0.8835
0.3333 0.6667 0.5501
0.3333 0.6667 0.7832
0.6667 0.3333 0.2168
0.6667 0.3333 0.4499
0.0000 0.0000 0.5000
0.3333 0.6667 0.1667
0.6667 0.3333 0.8333
```

Results
The space-group type is R-3m (166). As for the crystal system: trigonal.

No. 6
Nb2BI | PBE-GGA | optimized geometry

POSCAR file:
```
Nb2BI
1.0
6.4158 0.0000 0.0000
0.0000 6.4158 0.0000
0.0000 0.0000 6.4158
Nb B I
8 4 4
Direct
0.2500 0.2500 0.2500
0.2500 0.2500 0.7500
0.2500 0.7500 0.2500
0.2500 0.7500 0.7500
0.7500 0.2500 0.2500
0.7500 0.2500 0.7500
0.7500 0.7500 0.2500
0.7500 0.7500 0.7500
0.0000 0.0000 0.0000
0.0000 0.5000 0.5000
0.5000 0.0000 0.5000
0.5000 0.5000 0.0000
0.0000 0.0000 0.5000
0.0000 0.5000 0.0000
0.5000 0.0000 0.0000
0.5000 0.5000 0.5000
```

Results
As for the formation energy from raw total energies: 72.5 kJ per mole of atoms. The space-group type is Fm-3m (225). As for the crystal system: cubic. The calculation puts the energy relative to the lowest polymorph listed for this composition at 42 kJ/mol of formula units.

Computed values of E (unit: eV/cell) for the preceding records, in sequence: -97.21, -34.72, -24.38, -64.36, -41.04, -101.45.